(one)
## Tl2ZnGa2 (PBE)

Data for a geometry-optimized Tl2ZnGa2 structure.

```
data_Tl2ZnGa2
_chemical_formula_sum 'Tl4 Zn2 Ga4'
_cell_length_a 8.188
_cell_length_b 8.188
_cell_length_c 3.811
_cell_angle_alpha 90.00
_cell_angle_beta 90.00
_cell_angle_gamma 90.00
_space_group_name_H-M_alt 'P 4/m b m'
_space_group_IT_number 127
_space_group_name_Hall '-P 4 2ab'
loop_
_atom_site_label
_atom_site_type_symbol
_atom_site_fract_x
_atom_site_fract_y
_atom_site_fract_z
Tl1 Tl 0.183 0.317 0.000
Zn1 Zn 0.000 0.000 0.000
Ga1 Ga 0.118 0.618 0.500
```

=====

(two)
## Tl2ZnGa2 (PBE)

Data for a geometry-optimized Tl2ZnGa2 structure.

```
data_Tl2ZnGa2
_chemical_formula_sum 'Tl4 Zn2 Ga4'
_cell_length_a 3.739
_cell_length_b 3.739
_cell_length_c 17.762
_cell_angle_alpha 90.00
_cell_angle_beta 90.00
_cell_angle_gamma 90.00
_space_group_name_H-M_alt 'I 4/m m m'
_space_group_IT_number 139
_space_group_name_Hall '-I 4 2'
loop_
_atom_site_label
_atom_site_type_symbol
_atom_site_fract_x
_atom_site_fract_y
_atom_site_fract_z
Tl1 Tl 0.000 0.000 0.099
Zn1 Zn 0.000 0.000 0.500
Ga1 Ga 0.000 0.500 0.250
```

=====

Stability ranking, top and bottom: (two) is the most stable and (one) is the least stable.

=====

(one)
## Tl2ZnGa2 (PBE)

Data for a geometry-optimized Tl2ZnGa2 structure.

```
data_Tl2ZnGa2
_chemical_formula_sum 'Tl4 Zn2 Ga4'
_cell_length_a 6.882
_cell_length_b 6.882
_cell_length_c 5.014
_cell_angle_alpha 90.00
_cell_angle_beta 90.00
_cell_angle_gamma 90.00
_space_group_name_H-M_alt 'P 4/m b m'
_space_group_IT_number 127
_space_group_name_Hall '-P 4 2ab'
loop_
_atom_site_label
_atom_site_type_symbol
_atom_site_fract_x
_atom_site_fract_y
_atom_site_fract_z
Tl1 Tl 0.176 0.324 0.000
Zn1 Zn 0.000 0.000 0.500
Ga1 Ga 0.138 0.638 0.500
```

=====

(two)
## Tl2ZnGa2 (PBE)

Data for a geometry-optimized Tl2ZnGa2 structure.

```
data_Tl2ZnGa2
_chemical_formula_sum 'Tl4 Zn2 Ga4'
_cell_length_a 4.640
_cell_length_b 4.640
_cell_length_c 12.371
_cell_angle_alpha 90.00
_cell_angle_beta 90.00
_cell_angle_gamma 90.00
_space_group_name_H-M_alt 'I 4/m m m'
_space_group_IT_number 139
_space_group_name_Hall '-I 4 2'
loop_
_atom_site_label
_atom_site_type_symbol
_atom_site_fract_x
_atom_site_fract_y
_atom_site_fract_z
Tl1 Tl 0.000 0.500 0.250
Zn1 Zn 0.000 0.000 0.000
Ga1 Ga 0.000 0.000 0.399
```

=====

Stability ranking, top and bottom: (one) is the most stable and (two) is the least stable.

=====

(one)
## Tl2ZnGa (PBE)

Data for a geometry-optimized Tl2ZnGa structure.

```
data_Tl2ZnGa
_chemical_formula_sum 'Tl8 Zn4 Ga4'
_cell_length_a 7.318
_cell_length_b 7.318
_cell_length_c 7.318
_cell_angle_alpha 90.00
_cell_angle_beta 90.00
_cell_angle_gamma 90.00
_space_group_name_H-M_alt 'F m -3 m'
_space_group_IT_number 225
_space_group_name_Hall '-F 4 2 3'
loop_
_atom_site_label
_atom_site_type_symbol
_atom_site_fract_x
_atom_site_fract_y
_atom_site_fract_z
Tl1 Tl 0.250 0.250 0.250
Zn1 Zn 0.000 0.000 0.000
Ga1 Ga 0.000 0.000 0.500
```

=====

(two)
## Tl2ZnGa (PBE)

Data for a geometry-optimized Tl2ZnGa structure.

```
data_Tl2ZnGa
_chemical_formula_sum 'Tl2 Zn1 Ga1'
_cell_length_a 3.657
_cell_length_b 3.657
_cell_length_c 7.308
_cell_angle_alpha 90.00
_cell_angle_beta 90.00
_cell_angle_gamma 90.00
_space_group_name_H-M_alt 'P 4/m m m'
_space_group_IT_number 123
_space_group_name_Hall '-P 4 2'
loop_
_atom_site_label
_atom_site_type_symbol
_atom_site_fract_x
_atom_site_fract_y
_atom_site_fract_z
Tl1 Tl 0.000 0.000 0.241
Zn1 Zn 0.500 0.500 0.000
Ga1 Ga 0.500 0.500 0.500
```

=====

(three)
## Tl2ZnGa (PBE)

Data for a geometry-optimized Tl2ZnGa structure.

```
data_Tl2ZnGa
_chemical_formula_sum 'Tl2 Zn1 Ga1'
_cell_length_a 5.509
_cell_length_b 5.509
_cell_length_c 3.276
_cell_angle_alpha 90.00
_cell_angle_beta 90.00
_cell_angle_gamma 90.00
_space_group_name_H-M_alt 'P 4/m m m'
_space_group_IT_number 123
_space_group_name_Hall '-P 4 2'
loop_
_atom_site_label
_atom_site_type_symbol
_atom_site_fract_x
_atom_site_fract_y
_atom_site_fract_z
Tl1 Tl 0.000 0.500 0.000
Zn1 Zn 0.000 0.000 0.500
Ga1 Ga 0.500 0.500 0.500
```

=====

Stability ranking, top and bottom: (two) is the most stable and (three) is the least stable.

=====

(one)
## Tl2ZnGa (PBE)

Data for a geometry-optimized Tl2ZnGa structure.

```
data_Tl2ZnGa
_chemical_formula_sum 'Tl4 Zn2 Ga2'
_cell_length_a 6.310
_cell_length_b 3.623
_cell_length_c 9.130
_cell_angle_alpha 90.00
_cell_angle_beta 104.46
_cell_angle_gamma 90.00
_space_group_name_H-M_alt 'C 1 m 1'
_space_group_IT_number 8
_space_group_name_Hall 'C -2y'
loop_
_atom_site_label
_atom_site_type_symbol
_atom_site_fract_x
_atom_site_fract_y
_atom_site_fract_z
Tl1 Tl 0.000 0.000 0.000
Tl2 Tl 0.165 0.000 0.514
Zn1 Zn 0.086 0.500 0.758
Ga1 Ga 0.422 0.000 0.257
```

=====

(two)
## Tl2ZnGa (PBE)

Data for a geometry-optimized Tl2ZnGa structure.

```
data_Tl2ZnGa
_chemical_formula_sum 'Tl8 Zn4 Ga4'
_cell_length_a 4.408
_cell_length_b 4.408
_cell_length_c 21.590
_cell_angle_alpha 90.00
_cell_angle_beta 90.00
_cell_angle_gamma 90.00
_space_group_name_H-M_alt 'I -4 2 d'
_space_group_IT_number 122
_space_group_name_Hall 'I -4 2bw'
loop_
_atom_site_label
_atom_site_type_symbol
_atom_site_fract_x
_atom_site_fract_y
_atom_site_fract_z
Tl1 Tl 0.249 0.250 0.125
Zn1 Zn 0.000 0.000 0.000
Ga1 Ga 0.000 0.000 0.500
```

=====

Stability ranking, top and bottom: (one) is the most stable and (two) is the least stable.

=====

(one)
## TlZn2Ga (PBE)

Data for a geometry-optimized TlZn2Ga structure.

```
data_TlZn2Ga
_chemical_formula_sum 'Tl1 Zn2 Ga1'
_cell_length_a 4.337
_cell_length_b 4.337
_cell_length_c 4.398
_cell_angle_alpha 90.00
_cell_angle_beta 90.00
_cell_angle_gamma 90.00
_space_group_name_H-M_alt 'P 4/m m m'
_space_group_IT_number 123
_space_group_name_Hall '-P 4 2'
loop_
_atom_site_label
_atom_site_type_symbol
_atom_site_fract_x
_atom_site_fract_y
_atom_site_fract_z
Tl1 Tl 0.000 0.000 0.000
Zn1 Zn 0.000 0.500 0.500
Ga1 Ga 0.500 0.500 0.000
```

=====

(two)
## TlZn2Ga (PBE)

Data for a geometry-optimized TlZn2Ga structure.

```
data_TlZn2Ga
_chemical_formula_sum 'Tl4 Zn8 Ga4'
_cell_length_a 6.934
_cell_length_b 6.934
_cell_length_c 6.934
_cell_angle_alpha 90.00
_cell_angle_beta 90.00
_cell_angle_gamma 90.00
_space_group_name_H-M_alt 'F m -3 m'
_space_group_IT_number 225
_space_group_name_Hall '-F 4 2 3'
loop_
_atom_site_label
_atom_site_type_symbol
_atom_site_fract_x
_atom_site_fract_y
_atom_site_fract_z
Tl1 Tl 0.000 0.000 0.000
Zn1 Zn 0.250 0.250 0.250
Ga1 Ga 0.000 0.000 0.500
```

=====

Stability ranking, top and bottom: (one) is the most stable and (two) is the least stable.

=====

(one)
## TlZn3Ga (PBE)

Data for a geometry-optimized TlZn3Ga structure.

```
data_TlZn3Ga
_chemical_formula_sum 'Tl1 Zn3 Ga1'
_cell_length_a 5.230
_cell_length_b 5.230
_cell_length_c 5.230
_cell_angle_alpha 90.00
_cell_angle_beta 90.00
_cell_angle_gamma 90.00
_space_group_name_H-M_alt 'P m -3 m'
_space_group_IT_number 221
_space_group_name_Hall '-P 4 2 3'
loop_
_atom_site_label
_atom_site_type_symbol
_atom_site_fract_x
_atom_site_fract_y
_atom_site_fract_z
Tl1 Tl 0.000 0.000 0.000
Zn1 Zn 0.000 0.000 0.500
Ga1 Ga 0.500 0.500 0.500
```

=====

(two)
## TlZn3Ga (PBE)

Data for a geometry-optimized TlZn3Ga structure.

```
data_TlZn3Ga
_chemical_formula_sum 'Tl1 Zn3 Ga1'
_cell_length_a 4.916
_cell_length_b 4.916
_cell_length_c 4.916
_cell_angle_alpha 90.00
_cell_angle_beta 90.00
_cell_angle_gamma 90.00
_space_group_name_H-M_alt 'P m -3 m'
_space_group_IT_number 221
_space_group_name_Hall '-P 4 2 3'
loop_
_atom_site_label
_atom_site_type_symbol
_atom_site_fract_x
_atom_site_fract_y
_atom_site_fract_z
Tl1 Tl 0.000 0.000 0.000
Zn1 Zn 0.000 0.500 0.500
Ga1 Ga 0.500 0.500 0.500
```

=====

Stability ranking, top and bottom: (two) is the most stable and (one) is the least stable.